A.
PaFeOs (PBE-GGA, optimized geometry); calculated volume = 16.8 Å³ per atom; crystal system = orthorhombic; M_tot = 3.364 μB per cell
1.0
-0.850 -1.824 4.367
1.518 -4.965 0.869
4.136 -0.604 3.200
Pa Fe Os
2 2 2
direct
0.873 0.377 0.377
0.127 0.623 0.623
0.000 0.000 0.000
0.500 0.000 0.000
0.500 0.500 0.000
0.500 0.000 0.500

***

B.
PaFeOs (PBE-GGA, optimized geometry); calculated volume = 18.6 Å³ per atom; crystal system = hexagonal; M_tot = 1.049 μB per cell
1.0
3.782 0.000 0.000
0.000 4.127 0.000
0.000 -2.064 3.574
Pa Os Fe
1 1 1
direct
0.667 0.333 0.667
0.166 0.667 0.333
0.167 0.000 0.000

***

C.
PaFeOs (PBE-GGA, optimized geometry); calculated volume = 17.7 Å³ per atom; crystal system = orthorhombic; M_tot = 0.000 μB per cell
1.0
4.572 0.000 0.000
0.000 5.449 0.000
-2.286 0.000 4.256
Pa Fe Os
2 2 2
direct
0.721 0.750 0.942
0.279 0.250 0.058
0.467 0.750 0.434
0.533 0.250 0.566
0.000 0.000 0.500
0.000 0.500 0.500

***

The least stable of them is B.